Record 1
Compound: Al2GaN
Source: Alexandria via LeMat-Bulk
Functional: PBE
Structure: relaxed

Lattice parameters (Å, degrees): 6.1027 6.1027 6.1027 90.00 90.00 90.00
Space group Fm-3m (No. 225)
Symmetry-distinct sites (fractional):
1 Al 0.2500 0.2500 0.2500 [8 per cell]
2 Ga 0.0000 0.0000 0.0000 [4 per cell]
3 N 0.0000 0.0000 0.5000 [4 per cell]

***

Record 2
Compound: Al2GaN3
Source: Alexandria via LeMat-Bulk
Functional: PBE
Structure: relaxed

Lattice parameters (Å, degrees): 5.4473 9.4350 5.4473 90.00 109.51 90.00
Space group Cc (No. 9)
Symmetry-distinct sites (fractional):
1 Al 0.0000 0.0830 0.0000 [4 per cell]
2 Al 0.4993 0.2513 0.0001 [4 per cell]
3 Ga 0.4994 0.0846 0.5000 [4 per cell]
4 N 0.1151 0.0830 0.3711 [4 per cell]
5 N 0.1280 0.2447 0.8716 [4 per cell]
6 N 0.1304 0.4121 0.3824 [4 per cell]

***

Record 3
Compound: AlGaN2
Source: Alexandria via LeMat-Bulk
Functional: PBE
Structure: relaxed

Lattice parameters (Å, degrees): 3.1662 3.1662 4.4605 90.00 90.00 90.00
Space group P-4m2 (No. 115)
Symmetry-distinct sites (fractional):
1 Al 0.0000 0.0000 0.0000 [1 per cell]
2 Ga 0.5000 0.5000 0.5000 [1 per cell]
3 N 0.0000 0.5000 0.2383 [2 per cell]

***

| no. | ΔE to the lowest computed polymorph (eV/atom) | raw formation energy (meV per atom) | size of the total moment (μB/atom) |
| --- | --- | --- | --- |
| 1 | 1.124 | 825.4 | 0.0000 |
| 2 | 0.009 | -1084.6 | 0.0000 |
| 3 | 0.006 | -930.6 | 0.0000 |